Computed, not measured: an optimized crystal structure of Cs3RbH2F6 at the PBE-GGA level of DFT.

Cell: 6.1873 6.1873 7.5832 Å, 90.00 90.00 120.00°
Last column: nearest neighbours and their distance in Å.
Fractional coordinates of all 12 atoms:
Cs: 0.0000 0.0000 0.0000  6 F 3.03
Cs: 0.3333 0.6667 0.6871  9 F 3.13-3.41, 1 H 3.14
Cs: 0.6667 0.3333 0.3130  9 F 3.13-3.41, 1 H 3.14
Rb: 0.0000 0.0000 0.5000  6 F 2.76
H: 0.3333 0.6667 0.2724  3 F 1.39
H: 0.6667 0.3333 0.7276  3 F 1.39
F: 0.2034 0.4069 0.2770  1 H 1.39
F: 0.2034 0.7966 0.2770  1 H 1.39
F: 0.4069 0.2034 0.7230  1 H 1.39
F: 0.5931 0.7966 0.2770  1 H 1.39
F: 0.7966 0.2034 0.7230  1 H 1.39
F: 0.7966 0.5931 0.7230  1 H 1.39

Values from the calculation:
- symmetry = P-3m1

Computed, not measured: an optimized crystal structure of CsHRhF6 at the PBE-GGA level of DFT.

Cell: 4.8612 5.1759 6.3926 Å, 92.86 92.07 111.75°
Last column: nearest neighbours and their distance in Å.
Fractional coordinates of all 9 atoms:
Cs: 0.0000 0.0000 0.0000  7 F 3.08-3.45, 2 H 3.20
H: 0.0022 0.9987 0.4998  2 F 1.15
Rh: 0.5021 0.4988 0.4997  6 F 1.93-2.02
F: 0.0963 0.2287 0.5619  1 H 1.15
F: 0.3458 0.5946 0.2455  1 Rh 1.93
F: 0.4395 0.7864 0.6718  1 Rh 1.93
F: 0.5645 0.2112 0.3276  1 Rh 1.93
F: 0.6583 0.4032 0.7540  1 Rh 1.93
F: 0.9079 0.7688 0.4376  1 H 1.15

Values from the calculation:
- symmetry = P1

Computed, not measured: an optimized crystal structure of CsH2RuF8 at the PBE-GGA level of DFT.

Cell: 5.0230 5.0466 8.4012 Å, 90.08 103.18 108.35°
Last column: nearest neighbours and their distance in Å.
Fractional coordinates of all 12 atoms:
Cs: 0.0000 0.0000 0.0000  8 F 2.98-3.30
H: 0.3068 0.5140 0.7820  1 F 0.97
H: 0.6932 0.4860 0.2180  1 F 0.97
Ru: 0.0000 0.0000 0.5000  6 F 1.88-1.93
F: 0.1885 0.2216 0.3513  1 Ru 1.89
F: 0.2321 0.7705 0.5061  1 Ru 1.88
F: 0.2760 0.2343 0.6863  1 H 1.57
F: 0.3299 0.6434 0.8737  1 H 0.97
F: 0.6701 0.3566 0.1263  1 H 0.97
F: 0.7240 0.7657 0.3137  1 H 1.57
F: 0.7679 0.2295 0.4939  1 Ru 1.88
F: 0.8115 0.7784 0.6487  1 Ru 1.89

Values from the calculation:
- symmetry = P-1

Computed, not measured: an optimized crystal structure of Cs3HS2F12 at the PBE-GGA level of DFT.

Cell: 10.2867 10.6598 6.4483 Å, 90.00 90.00 90.00°
Last column: nearest neighbours and their distance in Å.
Fractional coordinates of all 36 atoms:
Cs: 0.0000 0.0000 0.0000  8 F 3.13-3.42, 2 H 3.22-3.23
Cs: 0.2080 0.2914 0.4981  8 F 3.03-3.39
Cs: 0.2920 0.7914 0.4981  8 F 3.03-3.39
Cs: 0.5000 0.5000 0.0000  8 F 3.13-3.42, 2 H 3.22-3.23
Cs: 0.7080 0.2086 0.4981  8 F 3.03-3.39
Cs: 0.7920 0.7086 0.4981  8 F 3.03-3.39
H: 0.0000 0.0000 0.5002  2 F 1.15
H: 0.5000 0.5000 0.5002  2 F 1.15
S: 0.1222 0.6018 0.9984  5 F 1.64-1.81
S: 0.3778 0.1018 0.9984  5 F 1.64-1.81
S: 0.6222 0.8982 0.9984  5 F 1.64-1.81
S: 0.8778 0.3982 0.9984  5 F 1.64-1.81
F: 0.0161 0.8936 0.5002  1 H 1.15
F: 0.0398 0.6879 0.1865  1 S 1.74
F: 0.0409 0.6857 0.8070  1 S 1.74
F: 0.2244 0.5356 0.1989  1 S 1.81
F: 0.2251 0.5338 0.8012  1 S 1.81
F: 0.2278 0.7165 0.9976  1 S 1.64
F: 0.2722 0.2165 0.9976  1 S 1.64
F: 0.2749 0.0338 0.8012  1 S 1.81
F: 0.2756 0.0356 0.1989  1 S 1.81
F: 0.4591 0.1857 0.8070  1 S 1.74
F: 0.4602 0.1879 0.1865  1 S 1.74
F: 0.4839 0.3936 0.5002  1 H 1.15
F: 0.5161 0.6064 0.5002  1 H 1.15
F: 0.5398 0.8121 0.1865  1 S 1.74
F: 0.5409 0.8143 0.8070  1 S 1.74
F: 0.7244 0.9644 0.1989  1 S 1.81
F: 0.7251 0.9662 0.8012  1 S 1.81
F: 0.7278 0.7835 0.9976  1 S 1.64
F: 0.7722 0.2835 0.9976  1 S 1.64
F: 0.7749 0.4662 0.8012  1 S 1.81
F: 0.7756 0.4644 0.1989  1 S 1.81
F: 0.9591 0.3143 0.8070  1 S 1.74
F: 0.9602 0.3121 0.1865  1 S 1.74
F: 0.9839 0.1064 0.5002  1 H 1.15

Values from the calculation:
- symmetry = Pba2

Computed, not measured: an optimized crystal structure of CsSbH2F8 at the PBE-GGA level of DFT.

Cell: 5.0416 5.1609 8.4621 Å, 79.61 88.65 69.14°
Last column: nearest neighbours and their distance in Å.
Fractional coordinates of all 12 atoms:
Cs: 0.0000 0.0000 0.0000  10 F 3.02-3.37, 2 H 3.34
Sb: 0.0000 0.0000 0.5000  6 F 1.90-1.95
H: 0.4639 0.3100 0.2214  1 F 0.97
H: 0.5361 0.6900 0.7786  1 F 0.97
F: 0.2223 0.2322 0.4858  1 Sb 1.90
F: 0.2276 0.8029 0.3443  1 Sb 1.92
F: 0.2477 0.7400 0.6792  1 H 1.61
F: 0.3492 0.3318 0.1263  1 H 0.97
F: 0.6508 0.6682 0.8737  1 H 0.97
F: 0.7523 0.2600 0.3208  1 H 1.61
F: 0.7724 0.1971 0.6557  1 Sb 1.92
F: 0.7777 0.7678 0.5142  1 Sb 1.90

Values from the calculation:
- symmetry = P-1

Computed, not measured: an optimized crystal structure of Cs2SiH4F2 at the PBE-GGA level of DFT.

Cell: 5.9292 5.9292 5.2154 Å, 94.78 94.78 61.95°
Last column: nearest neighbours and their distance in Å.
Fractional coordinates of all 9 atoms:
Cs: 0.1755 0.1755 0.2628  6 H 3.02-3.13, 4 F 3.07-3.12
Cs: 0.8245 0.8245 0.7372  6 H 3.02-3.13, 4 F 3.07-3.12
Si: 0.5000 0.5000 0.0000  4 H 1.59
H: 0.2585 0.6272 0.1729  1 Si 1.59
H: 0.3728 0.7415 0.8271  1 Si 1.59
H: 0.6272 0.2585 0.1729  1 Si 1.59
H: 0.7415 0.3728 0.8271  1 Si 1.59
F: 0.3451 0.3451 0.7945  1 Si 1.82
F: 0.6549 0.6549 0.2055  1 Si 1.82

Values from the calculation:
- symmetry = C2/m

Computed, not measured: an optimized crystal structure of CsSi2HF at the PBE-GGA level of DFT.

Cell: 6.1687 6.1687 3.9994 Å, 90.00 90.00 90.00°
Last column: nearest neighbours and their distance in Å.
Fractional coordinates of all 5 atoms:
Cs: 0.0000 0.0000 0.0000  2 H 2.00
Si: 0.0000 0.5000 0.0000  2 Cs 3.08
Si: 0.5000 0.0000 0.0000  2 Cs 3.08
H: 0.0000 0.0000 0.5000  2 Cs 2.00
F: 0.5000 0.5000 0.5000  8 Si 3.68, 2 F 4.00

Values from the calculation:
- symmetry = P4/mmm
- energy above the most stable polymorph in this dataset (eV/atom) = 1.815

Computed, not measured: an optimized crystal structure of CsSi2HF at the PBE-GGA level of DFT.

Cell: 3.8533 3.8533 8.5935 Å, 90.00 90.00 90.00°
Last column: nearest neighbours and their distance in Å.
Fractional coordinates of all 5 atoms:
Cs: 0.0000 0.0000 0.0000  4 F 2.72
Si: 0.0000 0.5000 0.5000  2 H 1.93
Si: 0.5000 0.0000 0.5000  2 H 1.93
H: 0.5000 0.5000 0.5000  4 Si 1.93
F: 0.5000 0.5000 0.0000  4 Cs 2.72

Values from the calculation:
- symmetry = P4/mmm
- energy above the most stable polymorph in this dataset (eV/atom) = 0.000

Computed, not measured: an optimized crystal structure of Cs2SmHF6 at the PBE-GGA level of DFT.

Cell: 7.4410 6.3580 6.3400 Å, 71.75 54.24 54.01°
Last column: nearest neighbours and their distance in Å.
Fractional coordinates of all 10 atoms:
Cs: 0.2500 0.2500 0.2500  8 F 3.20-3.21, 2 Cs 3.55
Cs: 0.7500 0.7500 0.7500  8 F 3.20-3.21, 2 Cs 3.55
Sm: 0.0000 0.0000 0.0000  6 F 2.21-2.38
H: 0.5000 0.5000 0.5000  2 F 1.17
F: 0.2099 0.2099 0.7901  1 Sm 2.21
F: 0.2108 0.7892 0.2108  1 Sm 2.21
F: 0.3356 0.6644 0.6644  1 H 1.17
F: 0.6644 0.3356 0.3356  1 H 1.17
F: 0.7892 0.2108 0.7892  1 Sm 2.21
F: 0.7901 0.7901 0.2099  1 Sm 2.21

Values from the calculation:
- symmetry = Fmmm

Computed, not measured: an optimized crystal structure of Cs2SrH2F2 at the PBE-GGA level of DFT.

Cell: 8.3405 8.3405 8.3405 Å, 146.52 146.52 48.08°
Last column: nearest neighbours and their distance in Å.
Fractional coordinates of all 7 atoms:
Cs: 0.1511 0.1511 0.0000  1 F 2.90
Cs: 0.8489 0.8489 0.0000  1 F 2.90
Sr: 0.5000 0.5000 0.0000  4 H 2.40, 2 F 2.41
H: 0.0000 0.5000 0.5000  2 Sr 2.40
H: 0.5000 0.0000 0.5000  2 Sr 2.40
F: 0.3417 0.3417 0.0000  1 Sr 2.41
F: 0.6583 0.6583 0.0000  1 Sr 2.41

Values from the calculation:
- symmetry = I4/mmm

Computed, not measured: an optimized crystal structure of CsSrHF2 at the PBE-GGA level of DFT.

Cell: 4.8258 4.8258 4.8628 Å, 90.00 90.00 90.00°
Last column: nearest neighbours and their distance in Å.
Fractional coordinates of all 5 atoms:
Cs: 0.0000 0.0000 0.0000  4 H 3.41, 8 F 3.43
Sr: 0.5000 0.5000 0.5000  4 F 2.41, 2 H 2.43
H: 0.5000 0.5000 0.0000  2 Sr 2.43
F: 0.0000 0.5000 0.5000  2 Sr 2.41
F: 0.5000 0.0000 0.5000  2 Sr 2.41

Values from the calculation:
- symmetry = P4/mmm

Computed, not measured: an optimized crystal structure of CsSrH2F at the PBE-GGA level of DFT.

Cell: 4.8820 4.8820 4.8139 Å, 90.00 90.00 90.00°
Last column: nearest neighbours and their distance in Å.
Fractional coordinates of all 5 atoms:
Cs: 0.0000 0.0000 0.0000  8 H 3.43, 4 F 3.45
Sr: 0.5000 0.5000 0.5000  2 F 2.41, 4 H 2.44
H: 0.0000 0.5000 0.5000  2 Sr 2.44
H: 0.5000 0.0000 0.5000  2 Sr 2.44
F: 0.5000 0.5000 0.0000  2 Sr 2.41

Values from the calculation:
- symmetry = P4/mmm

E_tot values (in eV per cell) by entry order: -47.81; -39.49; -54.87; -148.39; -53.41; -34.88; -9.24; -18.32; -51.01; -26.10; -21.72; -18.11.